A geometry-optimized KFe2Co structure. Source: Alexandria via LeMat-Bulk, functional PBE-GGA.

Cell and atoms, written as POSCAR:
```
KFe2Co
1.0
-3.559 1.266 -2.622
0.471 -3.836 -2.492
-6.422 -5.015 2.262
Fe K Co
4 2 2
Direct
0.875 0.125 0.250
0.375 0.125 0.750
0.875 0.625 0.250
0.875 0.125 0.750
0.500 0.500 0.000
0.250 0.750 0.500
0.000 0.000 0.000
0.750 0.250 0.500
```

Values from the calculation:
The formation energy from the elements is 1.478 eV/atom. The value obtained for the electronic total energy is -38.4 eV per cell. Its energy above the most stable polymorph in this dataset is 0.837 eV per atom.

---

A geometry-optimized KNb2FeCo structure. Source: Alexandria via LeMat-Bulk, functional PBE-GGA.

Cell and atoms, written as POSCAR:
```
KNb2FeCo
1.0
4.593 0.000 0.000
0.000 5.464 0.000
0.000 0.000 4.593
Nb K Fe Co
2 1 1 1
Direct
0.000 0.000 0.500
0.500 0.000 0.000
0.000 0.500 0.000
0.500 0.500 0.500
0.000 0.000 0.000
```

Values from the calculation:
The formation energy from the elements is 1.532 eV/atom. The value obtained for the electronic total energy is -29.1 eV per cell.

---

A geometry-optimized K2NbFeCo structure. Source: Alexandria via LeMat-Bulk, functional PBE-GGA.

Cell and atoms, written as POSCAR:
```
K2NbFeCo
1.0
-6.137 -0.073 0.809
0.562 -1.643 4.120
0.230 5.757 2.265
Fe Co K Nb
1 1 2 1
Direct
0.500 0.500 0.500
0.000 0.000 0.000
0.500 0.000 0.000
0.000 0.000 0.500
0.000 0.500 0.000
```

Values from the calculation:
The formation energy from the elements is 1.648 eV/atom. The value obtained for the electronic total energy is -19.6 eV per cell.